A geometry-optimized Rb2PtPbO4 structure. Source: the Alexandria database, functional GGA-PBE.

Cell: 6.366 7.750 11.515 Å, 83.48 73.95 65.75°
Fractional coordinates of all 16 atoms:
Rb  0.180  0.000  0.639
Rb  0.820  0.000  0.361
Rb  0.570  0.500  0.861
Rb  0.930  0.500  0.139
Pt  0.250  0.500  0.500
Pt  0.500  0.000  0.000
Pb  0.750  0.500  0.500
Pb  0.000  0.000  0.000
O  0.364  0.808  0.001
O  0.173  0.192  0.999
O  0.828  0.808  0.999
O  0.635  0.192  0.001
O  0.386  0.692  0.499
O  0.577  0.308  0.501
O  0.922  0.692  0.501
O  0.115  0.308  0.499

Formation energy (no corrections) (eV per atom): -0.860
Magnetization (μB per atom): 0.0000
ρ (g/cm3): 4.252
Calculated total energy (eV/atom): -4.80
Space-group type: Fddd (70)

A geometry-optimized ZrAgTe2 structure. Source: the Alexandria database, functional GGA-PBE.

Cell: 3.685 3.685 6.959 Å, 90.00 90.00 90.00°
Fractional coordinates of all 4 atoms:
Ag  0.500  0.500  0.750
Te  0.000  0.000  0.015
Te  0.000  0.000  0.485
Zr  0.500  0.500  0.250

Formation energy (no corrections) (eV per atom): -0.416
Magnetization (μB per atom): 0.0000
ρ (g/cm3): 7.980
Calculated total energy (eV/atom): -4.84
Space-group type: P4/mmm (123)

A geometry-optimized BeTlCr2 structure. Source: the Alexandria database, functional GGA-PBE.

Cell: 3.596 3.596 9.547 Å, 79.14 79.14 90.00°
Fractional coordinates of all 8 atoms:
Cr  0.189  0.125  0.250
Cr  0.561  0.625  0.250
Cr  0.375  0.811  0.750
Cr  0.875  0.439  0.750
Tl  0.000  0.000  0.000
Tl  0.750  0.250  0.500
Be  0.500  0.500  0.000
Be  0.250  0.750  0.500

Energy relative to the elements (meV per atom): 953
Magnetization (μB per atom): 0.0000
ρ (g/cm3): 8.858
Calculated total energy (eV/atom): -5.38
Space-group type: I-42d (122)

A geometry-optimized PaNbCu2 structure. Source: the Alexandria database, functional GGA-PBE.

Cell: 4.662 4.662 4.664 Å, 60.02 60.02 60.00°
Fractional coordinates of all 4 atoms:
Nb  0.500  0.500  0.500
Pa  0.000  0.000  0.000
Cu  0.750  0.750  0.750
Cu  0.250  0.250  0.250

Energy relative to the elements (meV per atom): 260
Magnetization (μB per atom): 0.2753
ρ (g/cm3): 10.447
Calculated total energy (eV/atom): -6.68
Space-group type: Fm-3m (225)

A geometry-optimized Sm3Th5H12 structure. Source: the Alexandria database, functional GGA-PBE.

Cell: 11.698 11.698 11.698 Å, 109.47 109.47 109.47°
Fractional coordinates of all 80 atoms:
Sm  0.750  0.375  0.125
Sm  0.875  0.750  0.125
Sm  0.375  0.750  0.625
Sm  0.250  0.125  0.375
Sm  0.875  0.125  0.250
Sm  0.375  0.625  0.250
Sm  0.625  0.375  0.750
Sm  0.125  0.875  0.750
Sm  0.750  0.875  0.625
Sm  0.625  0.250  0.375
Sm  0.125  0.250  0.875
Sm  0.250  0.625  0.875
Th  0.125  0.375  0.250
Th  0.000  0.500  0.000
Th  0.000  0.000  0.000
Th  0.375  0.250  0.125
Th  0.500  0.000  0.500
Th  0.500  0.500  0.000
Th  0.125  0.750  0.375
Th  0.750  0.125  0.875
Th  0.750  0.625  0.375
Th  0.375  0.125  0.750
Th  0.625  0.875  0.250
Th  0.500  0.500  0.500
Th  0.500  0.000  0.000
Th  0.000  0.000  0.500
Th  0.250  0.375  0.625
Th  0.250  0.875  0.125
Th  0.000  0.500  0.500
Th  0.875  0.250  0.625
Th  0.625  0.750  0.875
Th  0.875  0.625  0.750
H  0.728  0.156  0.073
H  0.345  0.573  0.418
H  0.927  0.344  0.272
H  0.573  0.228  0.156
H  0.572  0.728  0.655
H  0.927  0.582  0.155
H  0.345  0.772  0.428
H  0.082  0.928  0.156
H  0.582  0.927  0.655
H  0.728  0.572  0.155
H  0.772  0.427  0.344
H  0.845  0.918  0.073
H  0.156  0.728  0.573
H  0.344  0.418  0.072
H  0.072  0.918  0.344
H  0.428  0.156  0.582
H  0.072  0.155  0.228
H  0.427  0.655  0.082
H  0.845  0.928  0.272
H  0.156  0.428  0.082
H  0.344  0.927  0.772
H  0.582  0.656  0.428
H  0.918  0.845  0.573
H  0.772  0.345  0.928
H  0.418  0.344  0.572
H  0.082  0.155  0.427
H  0.228  0.655  0.072
H  0.155  0.072  0.728
H  0.656  0.073  0.228
H  0.844  0.572  0.918
H  0.573  0.345  0.918
H  0.572  0.844  0.418
H  0.928  0.845  0.772
H  0.928  0.082  0.656
H  0.844  0.272  0.427
H  0.155  0.082  0.927
H  0.656  0.582  0.928
H  0.418  0.073  0.345
H  0.272  0.428  0.845
H  0.228  0.573  0.656
H  0.918  0.072  0.844
H  0.655  0.228  0.572
H  0.427  0.772  0.844
H  0.073  0.418  0.845
H  0.428  0.272  0.345
H  0.073  0.656  0.728
H  0.655  0.427  0.582
H  0.272  0.844  0.927

Magnetization (μB per atom): 0.0000
ρ (g/cm3): 8.749
Calculated total energy (eV/atom): -4.95
Space-group type: Ia-3d (230)

A geometry-optimized TbZnRhPb structure. Source: the Alexandria database, functional GGA-PBE.

Cell: 4.875 4.875 4.875 Å, 60.00 60.00 60.00°
Fractional coordinates of all 4 atoms:
Pb  0.250  0.250  0.250
Rh  0.500  0.500  0.500
Zn  0.000  0.000  0.000
Tb  0.750  0.750  0.750

Energy relative to the elements (meV per atom): -350
Magnetization (μB per atom): 0.0000
ρ (g/cm3): 10.835
Calculated total energy (eV/atom): -4.59
Space-group type: F-43m (216)

A geometry-optimized Pm2TmCd structure. Source: the Alexandria database, functional GGA-PBE.

Cell: 5.173 5.173 9.688 Å, 105.48 105.48 90.00°
Fractional coordinates of all 8 atoms:
Pm  0.864  0.864  0.229
Pm  0.136  0.136  0.771
Pm  0.500  0.000  0.500
Pm  0.000  0.500  0.500
Tm  0.359  0.359  0.218
Tm  0.641  0.641  0.782
Cd  0.249  0.751  0.000
Cd  0.751  0.249  0.000

Energy relative to the elements (meV per atom): -153
Magnetization (μB per atom): 0.0000
ρ (g/cm3): 7.904
Calculated total energy (eV/atom): -3.87
Space-group type: C2/m (12)

A geometry-optimized DyEr4Sc5 structure. Source: the Alexandria database, functional GGA-PBE.

Cell: 6.023 7.487 7.487 Å, 80.69 66.28 66.28°
Fractional coordinates of all 10 atoms:
Dy  0.228  0.000  0.000
Er  0.403  0.392  0.706
Er  0.795  0.706  0.608
Er  0.109  0.294  0.392
Er  0.501  0.608  0.294
Sc  0.803  0.372  0.915
Sc  0.174  0.915  0.628
Sc  0.717  0.085  0.372
Sc  0.089  0.628  0.085
Sc  0.690  0.000  0.000

Energy relative to the elements (meV per atom): 301
Magnetization (μB per atom): 0.0001
ρ (g/cm3): 6.198
Calculated total energy (eV/atom): -5.15
Space-group type: I4 (79)

A geometry-optimized NaLiSbPb structure. Source: the Alexandria database, functional GGA-PBE.

Cell: 5.200 5.200 5.200 Å, 60.00 60.00 60.00°
Fractional coordinates of all 4 atoms:
Pb  0.750  0.750  0.750
Sb  0.250  0.250  0.250
Li  0.000  0.000  0.000
Na  0.500  0.500  0.500

Formation energy (no corrections) (eV per atom): -0.248
Magnetization (μB per atom): 0.0000
ρ (g/cm3): 5.995
Calculated total energy (eV/atom): -3.01
Space-group type: F-43m (216)

A geometry-optimized TiPd4Rh structure. Source: the Alexandria database, functional GGA-PBE.

Cell: 5.592 6.817 9.603 Å, 63.17 105.52 145.13°
Fractional coordinates of all 12 atoms:
Ti  0.357  0.643  0.107
Ti  0.643  0.357  0.893
Pd  0.167  0.334  0.416
Pd  0.144  0.330  0.920
Pd  0.669  0.335  0.415
Pd  0.482  0.984  0.766
Pd  0.518  0.016  0.234
Pd  0.331  0.665  0.585
Pd  0.856  0.670  0.080
Pd  0.833  0.666  0.584
Rh  0.000  0.992  0.758
Rh  0.000  0.008  0.242

Energy relative to the elements (meV per atom): -356
Magnetization (μB per atom): 0.0000
ρ (g/cm3): 10.466
Calculated total energy (eV/atom): -6.36
Space-group type: P2_1/m (11)

A geometry-optimized Dy4Al2O9 structure. Source: the Alexandria database, functional GGA-PBE.

Cell: 7.420 10.543 11.228 Å, 90.00 108.50 90.00°
Fractional coordinates of all 60 atoms:
Dy  0.522  0.596  0.306
Dy  0.478  0.404  0.694
Dy  0.478  0.096  0.194
Dy  0.522  0.904  0.806
Dy  0.023  0.609  0.285
Dy  0.977  0.391  0.715
Dy  0.977  0.109  0.215
Dy  0.023  0.891  0.785
Dy  0.160  0.374  0.062
Dy  0.840  0.626  0.938
Dy  0.840  0.874  0.438
Dy  0.160  0.126  0.562
Dy  0.338  0.878  0.415
Dy  0.662  0.122  0.585
Dy  0.662  0.378  0.085
Dy  0.338  0.622  0.915
Al  0.154  0.823  0.114
Al  0.846  0.177  0.886
Al  0.846  0.323  0.386
Al  0.154  0.677  0.614
Al  0.717  0.820  0.128
Al  0.283  0.180  0.872
Al  0.283  0.320  0.372
Al  0.717  0.680  0.628
O  0.572  0.733  0.481
O  0.428  0.267  0.519
O  0.428  0.233  0.019
O  0.572  0.767  0.981
O  0.138  0.730  0.462
O  0.862  0.270  0.538
O  0.862  0.230  0.038
O  0.138  0.770  0.962
O  0.196  0.982  0.162
O  0.804  0.018  0.838
O  0.804  0.482  0.338
O  0.196  0.518  0.662
O  0.422  0.506  0.106
O  0.578  0.494  0.894
O  0.578  0.006  0.394
O  0.422  0.994  0.606
O  0.290  0.737  0.247
O  0.710  0.263  0.753
O  0.710  0.237  0.253
O  0.290  0.763  0.747
O  0.730  0.739  0.269
O  0.270  0.261  0.731
O  0.270  0.239  0.231
O  0.730  0.761  0.769
O  0.067  0.259  0.384
O  0.933  0.741  0.616
O  0.933  0.759  0.116
O  0.067  0.241  0.884
O  0.287  0.483  0.346
O  0.713  0.517  0.654
O  0.713  0.983  0.154
O  0.287  0.017  0.846
O  0.064  0.992  0.393
O  0.936  0.008  0.607
O  0.936  0.492  0.107
O  0.064  0.508  0.893

Formation energy (no corrections) (eV per atom): -3.414
Magnetization (μB per atom): 0.0000
ρ (g/cm3): 6.761
Calculated total energy (eV/atom): -8.11
Space-group type: P2_1/c (14)

A geometry-optimized PrHoPb6 structure. Source: the Alexandria database, functional GGA-PBE.

Cell: 4.910 4.910 9.820 Å, 90.00 90.00 90.00°
Fractional coordinates of all 8 atoms:
Pr  0.000  0.000  0.000
Ho  0.000  0.000  0.500
Pb  0.500  0.500  0.000
Pb  0.500  0.500  0.500
Pb  0.500  0.000  0.255
Pb  0.500  0.000  0.745
Pb  0.000  0.500  0.255
Pb  0.000  0.500  0.745

Energy relative to the elements (meV per atom): -323
Magnetization (μB per atom): 0.0000
ρ (g/cm3): 10.867
Calculated total energy (eV/atom): -4.27
Space-group type: P4/mmm (123)